# PmPrO2

A relaxed PmPrO2 crystal (GGA-PBE, OQMD via LeMat-Bulk).

Cell and atoms, written as CIF:
```
data_PmPrO2
_chemical_formula_sum 'Pm1 Pr1 O2'
_cell_length_a 3.549
_cell_length_b 3.549
_cell_length_c 5.018
_cell_angle_alpha 90.00
_cell_angle_beta 90.00
_cell_angle_gamma 90.00
_symmetry_space_group_name_H-M 'P 1'
_symmetry_Int_Tables_number 1
_symmetry_space_group_name_Hall 'P 1'
loop_
_atom_site_label
_atom_site_fract_x
_atom_site_fract_y
_atom_site_fract_z
Pm1 0.000 0.000 0.500
O1 0.500 0.500 0.500
O2 0.000 0.000 0.000
Pr1 0.500 0.500 0.000
```

Results
E_tot ... -30.32 eV/cell